CoNi4 at its PBEsol-relaxed geometry, computed with meta-GGA SCAN. Values from VASP.

The structure in Quantum ESPRESSO input format:
```
&SYSTEM
  ibrav = 0, nat = 5, ntyp = 2
/
ATOMIC_SPECIES
Ni 58.69 Ni.upf
Co 58.93 Co.upf
CELL_PARAMETERS angstrom
-0.156 -2.690 2.156
3.698 -2.003 0.530
0.760 0.989 4.051
ATOMIC_POSITIONS angstrom
Ni 1.600 -1.147 1.447
Ni 2.703 -2.558 5.290
Ni 1.094 -1.421 3.830
Ni 3.208 -2.284 2.906
Co 0.000 0.000 0.000
```

Summary:
**N(E_F)**: 5.31 states/eV per cell
**Symmetry**: I4/m (87)
**DFT formation energy**: 0.010 eV per atom

Sr12Al14O33 at its PBEsol-relaxed geometry, computed with meta-GGA SCAN. Values from VASP.

The structure in Quantum ESPRESSO input format:
```
&SYSTEM
  ibrav = 0, nat = 59, ntyp = 3
/
ATOMIC_SPECIES
O 16.00 O.upf
Al 26.98 Al.upf
Sr 87.62 Sr.upf
CELL_PARAMETERS angstrom
-10.043 0.431 -3.568
6.624 -2.134 -8.085
0.805 -7.698 7.341
ATOMIC_POSITIONS angstrom
O -1.530 -3.573 -8.006
O -5.421 -2.566 -0.094
O 0.228 -2.730 -3.234
O -1.710 -0.851 -5.826
O 3.359 -8.346 -1.999
O -7.073 -4.422 -1.671
O 3.397 -3.650 -6.050
O 2.887 -2.074 -2.777
O -0.438 -5.588 -3.275
O -1.313 -5.909 4.135
O 0.208 -4.050 -5.666
O 2.048 -7.437 3.010
O 0.282 -5.327 1.752
O -4.494 -4.003 -2.489
O -4.213 -7.627 1.294
O -1.660 -8.034 -3.750
O -4.909 -5.244 0.147
O -2.687 -5.282 1.816
O 1.494 -3.747 -0.757
O -5.553 -5.522 3.302
O 5.933 -9.218 -1.436
O 0.475 -7.811 -1.884
O -2.423 -6.493 -0.865
O -4.840 -2.663 -4.899
O -3.325 -1.297 -2.763
O -4.619 -2.350 -7.640
O 5.630 -5.357 -5.089
O -4.567 -5.881 -5.119
O 1.039 -2.052 -7.514
O -2.337 -3.794 -4.156
O 2.089 -6.805 0.125
O 0.944 -0.888 -1.189
O 6.221 -3.224 -6.765
Al -5.394 -1.641 -6.230
Al 1.828 -6.225 1.797
Al -5.474 -4.059 -1.027
Al -0.065 -7.325 -3.506
Al 1.931 -8.181 -0.972
Al -3.688 -2.799 -3.537
Al 1.367 -2.444 -1.901
Al 0.000 0.000 0.000
Al 5.077 -7.878 -2.196
Al 0.082 -3.558 -7.380
Al -0.591 -4.028 -4.090
Al -3.451 -6.218 0.498
Al 5.058 -3.718 -5.536
Al -1.176 -4.950 2.668
Sr -3.451 -0.923 -0.387
Sr 3.651 -4.947 -0.586
Sr 1.781 -2.018 -5.107
Sr -6.601 -6.748 1.389
Sr -1.075 -0.535 -3.664
Sr -3.032 -6.027 -3.148
Sr -0.113 -5.640 -0.716
Sr 2.067 -5.735 -5.984
Sr -2.344 -1.167 -7.989
Sr -3.562 -6.967 3.636
Sr -8.814 -2.538 -1.961
Sr -3.335 -4.175 -6.437
```

Summary:
**Symmetry**: I-4 (82)
**Formation energy from raw total energies**: -3.304 eV/atom

MgCu2SiIr at its PBEsol-relaxed geometry, computed with meta-GGA SCAN. Values from VASP.

The structure in Quantum ESPRESSO input format:
```
&SYSTEM
  ibrav = 0, nat = 5, ntyp = 4
/
ATOMIC_SPECIES
Cu 63.55 Cu.upf
Ir 192.22 Ir.upf
Mg 24.30 Mg.upf
Si 28.09 Si.upf
CELL_PARAMETERS angstrom
4.298 0.000 0.000
0.000 4.298 0.000
0.000 0.000 4.443
ATOMIC_POSITIONS angstrom
Cu 2.149 0.000 0.000
Cu 0.000 2.149 0.000
Ir 0.000 0.000 2.221
Mg 2.149 2.149 2.221
Si 0.000 0.000 0.000
```

Summary:
**N(E_F)**: 1.83 states/eV per cell
**Symmetry**: P4/mmm (123)
**Formation energy from raw total energies**: 0.201 eV/atom

LiBeW2 at its PBEsol-relaxed geometry, computed with meta-GGA SCAN. Values from VASP.

The structure in Quantum ESPRESSO input format:
```
&SYSTEM
  ibrav = 0, nat = 4, ntyp = 3
/
ATOMIC_SPECIES
Li 6.94 Li.upf
Be 9.01 Be.upf
W 183.84 W.upf
CELL_PARAMETERS angstrom
-1.080 1.130 2.120
0.014 -2.594 0.459
7.657 0.668 3.546
ATOMIC_POSITIONS angstrom
Li 1.532 -0.552 2.246
Be 3.877 0.338 1.796
W 7.626 0.665 3.532
W 5.041 -0.246 3.871
```

Summary:
**N(E_F)**: 2.19 states/eV per cell
**Symmetry**: Cmm2 (35)
**DFT formation energy**: 0.324 eV per atom

LaCo2F2 at its PBEsol-relaxed geometry, computed with meta-GGA SCAN. Values from VASP.

The structure in Quantum ESPRESSO input format:
```
&SYSTEM
  ibrav = 0, nat = 5, ntyp = 3
/
ATOMIC_SPECIES
F 19.00 F.upf
Co 58.93 Co.upf
La 138.91 La.upf
CELL_PARAMETERS angstrom
3.190 0.000 0.000
0.000 3.190 0.000
-1.595 -1.595 7.852
ATOMIC_POSITIONS angstrom
F 1.595 1.595 1.151
F 0.000 0.000 6.701
Co 0.000 1.595 3.926
Co 1.595 0.000 3.926
La 0.000 0.000 0.000
```

Summary:
**N(E_F)**: 2.74 states/eV per cell
**Symmetry**: I4/mmm (139)
**Formation energy from raw total energies**: -1.414 eV/atom

SrCr2P at its PBEsol-relaxed geometry, computed with meta-GGA SCAN. Values from VASP.

The structure in Quantum ESPRESSO input format:
```
&SYSTEM
  ibrav = 0, nat = 4, ntyp = 3
/
ATOMIC_SPECIES
Cr 52.00 Cr.upf
Sr 87.62 Sr.upf
P 30.97 P.upf
CELL_PARAMETERS angstrom
3.156 0.000 0.000
0.000 3.156 0.000
0.000 0.000 6.587
ATOMIC_POSITIONS angstrom
Cr 0.000 0.000 1.010
Cr 0.000 0.000 5.576
Sr 1.578 1.578 3.293
P 1.578 1.578 0.000
```

Summary:
**N(E_F)**: 3.17 states/eV per cell
**Symmetry**: P4/mmm (123)
**DFT formation energy**: 0.435 eV per atom

Number 1: V 10.35 Å³ per atom, electronic total energy -16.389 eV per atom. Number 2: V 15.84 Å³ per atom, electronic total energy -13.159 eV per atom. Number 3: V 16.41 Å³ per atom, electronic total energy -23.097 eV per atom. Number 4: V 14.08 Å³ per atom, electronic total energy -36.205 eV per atom. Number 5: V 15.98 Å³ per atom, electronic total energy -18.373 eV per atom. Number 6: V 16.40 Å³ per atom, electronic total energy -16.926 eV per atom.